Entry 1:
18
Lattice="2.1213 -9.3035 0.0000 2.1213 9.3035 0.0000 0.0000 0.0000 13.0302" Properties=species:S:1:pos:R:3 comment="Sr2PuInSe5 GGA-PBE optimized geometry" vol_a3_per_fu=257.2 m_tot_mub_per_fu=5.00 dft_energy_ry_per_atom=-0.4158 pbc="T T T"
Sr 2.1213 7.1545 6.5151
Sr 2.1213 6.8891 1.7922
Sr 2.1213 -6.8891 8.3073
Sr 2.1213 -7.1545 0.0000
Pu 2.1213 5.3973 10.9341
Pu 2.1213 -5.3973 4.4190
In 2.1213 0.9361 3.4369
In 2.1213 -0.9361 9.9520
Se 2.1213 8.3858 11.5049
Se 2.1213 3.9201 6.3629
Se 2.1213 3.4826 2.4068
Se 2.1213 2.5475 10.7111
Se 2.1213 0.0928 7.6250
Se 2.1213 -0.0928 1.1099
Se 2.1213 -2.5475 4.1960
Se 2.1213 -3.4826 8.9219
Se 2.1213 -3.9201 12.8780
Se 2.1213 -8.3858 4.9898


Entry 2:
5
Lattice="3.1776 -1.8343 0.0000 3.1776 1.8343 0.0000 -0.0011 0.0000 15.4386" Properties=species:S:1:pos:R:3 comment="Ca2Pm2Er GGA-PBE optimized geometry" relative_energy_kj_per_mol_atoms=0.0 vol_a3_per_fu=180.0 m_tot_mub_per_fu=0.00 dft_energy_ry_per_atom=-0.2632 delta_e_f_ev_per_fu=0.16 pbc="T T T"
Ca 1.0544 0.0000 1.6598
Ca 5.2997 0.0000 13.7787
Pm 1.0509 0.0000 10.5556
Pm 5.3031 0.0000 4.8830
Er 3.1770 0.0000 7.7193


Entry 3:
4
Lattice="2.6848 0.0000 0.0000 0.0000 3.5747 0.0000 0.0000 0.0000 5.0533" Properties=species:S:1:pos:R:3 comment="BeNiRu2 GGA-PBE optimized geometry" vol_a3_per_fu=48.5 m_tot_mub_per_fu=0.00 dft_energy_ry_per_atom=-0.5157 delta_e_f_ev_per_fu=-0.01 pbc="T T T"
Be 0.0000 0.0000 0.0000
Ni 1.3424 1.7874 1.0645
Ru 0.0000 0.0000 2.4526
Ru 1.3424 1.7874 3.7044